First-principles (GGA-PBE) data for a geometry-optimized Ac2Sm3DyTe6 structure, as listed in the Alexandria database.

Cell: 4.492 9.137 10.098 Å, 102.54 102.85 90.00°
Fractional coordinates of all 12 atoms:
1 Sm 0.827 0.163 0.653
2 Sm 0.500 0.500 0.000
3 Te 0.661 0.068 0.323
4 Ac 0.834 0.667 0.668
5 Te 0.993 0.241 0.986
6 Te 0.007 0.759 0.014
7 Sm 0.173 0.837 0.347
8 Te 0.339 0.932 0.677
9 Ac 0.166 0.333 0.332
10 Dy 0.500 0.000 0.000
11 Te 0.662 0.595 0.325
12 Te 0.338 0.405 0.675

Calculated values
Electronic total energy: -0.191 hartree per atom
Symmetry: C2/m, No. 12

First-principles (GGA-PBE) data for a geometry-optimized SnBiIr structure, as listed in the Alexandria database.

Cell: 3.281 3.281 6.870 Å, 103.70 103.69 90.51°
Fractional coordinates of all 3 atoms:
1 Ir 0.662 0.662 0.325
2 Sn 0.034 0.034 0.068
3 Bi 0.304 0.304 0.608

Calculated values
Symmetry: Fmm2, No. 42
Excess energy over the best structure of this formula in the dataset: 0.162 eV per atom
ΔH_f (0 K): 0.0954 eV per atom

First-principles (GGA-PBE) data for a geometry-optimized CaCoOs2Se structure, as listed in the Alexandria database.

Cell: 4.540 5.160 4.540 Å, 90.00 90.00 90.00°
Site moments in Bohr magnetons follow the coordinates.
Fractional coordinates of all 5 atoms:
1 Os 0.000 0.000 0.500  0.18
2 Se 0.000 0.000 0.000  0.00
3 Os 0.500 0.000 0.000  0.22
4 Ca 0.000 0.500 0.000  -0.04
5 Co 0.500 0.500 0.500  2.02

Calculated values
Electronic total energy: -0.208 hartree per atom
Symmetry: P4/mmm, No. 123

First-principles (GGA-PBE) data for a geometry-optimized In2AuSe structure, as listed in the Alexandria database.

Cell: 3.972 3.972 7.539 Å, 74.45 74.45 60.01°
Fractional coordinates of all 4 atoms:
1 In 0.998 0.998 0.006
2 In 0.502 0.502 0.494
3 Se 0.750 0.750 0.750
4 Au 0.250 0.250 0.250

Calculated values
Electronic total energy: -0.124 hartree per atom
Symmetry: C2/m, No. 12

First-principles (GGA-PBE) data for a geometry-optimized Ho5ErTl6 structure, as listed in the Alexandria database.

Cell: 6.486 9.811 7.434 Å, 48.71 81.64 77.27°
Fractional coordinates of all 12 atoms:
1 Ho 0.500 0.500 0.000
2 Tl 0.750 0.416 0.667
3 Ho 0.000 0.333 0.334
4 Tl 0.249 0.250 0.000
5 Ho 0.500 0.833 0.333
6 Ho 0.500 0.167 0.667
7 Tl 0.750 0.084 0.333
8 Er 0.000 0.000 0.000
9 Tl 0.751 0.750 0.000
10 Tl 0.250 0.916 0.667
11 Ho 0.000 0.667 0.666
12 Tl 0.250 0.584 0.333

Calculated values
Symmetry: C2/m, No. 12
Excess energy over the best structure of this formula in the dataset: 0.077 eV per atom
ΔH_f (0 K): -0.2457 eV per atom

First-principles (GGA-PBE) data for a geometry-optimized CsZrScB2 structure, as listed in the Alexandria database.

Cell: 4.797 5.323 4.797 Å, 90.00 90.00 90.00°
Fractional coordinates of all 5 atoms:
1 B 0.000 0.000 0.500
2 B 0.500 0.000 0.000
3 Zr 0.000 0.500 0.000
4 Sc 0.500 0.500 0.500
5 Cs 0.000 0.000 0.000

Calculated values
Symmetry: P4/mmm, No. 123
ΔH_f (0 K): 2.7185 eV per atom